Material: LiTe2As
Method: DFT, PBE
State: relaxed

Computed properties:
The calculated volume comes out at 25.47 Å³ per atom. The energy above the lowest structure with this stoichiometry is 127 kJ/mol of formula units. The energy relative to the elements, uncorrected comes out at -0.0319 eV/atom. As for the symmetry: Cmmm.

Structure (POSCAR):
```
LiTe2As
1.0
2.028 -3.102 0.000
2.028 3.102 0.000
0.000 0.000 8.099
Li Te As
1 2 1
Direct
0.000 0.000 0.000
0.500 0.500 0.251
0.500 0.500 0.749
0.000 0.000 0.500
```

---

Material: LiTe2As
Method: DFT, PBE
State: relaxed

Computed properties:
The calculated volume comes out at 25.93 Å³ per atom. The energy above the lowest structure with this stoichiometry is 37 kJ/mol of formula units. The energy relative to the elements, uncorrected comes out at -0.2644 eV/atom. As for the symmetry: Pm.

Structure (POSCAR):
```
LiTe2As
1.0
3.150 0.000 0.000
0.000 5.606 0.000
-1.254 0.000 5.873
Li Te As
1 2 1
Direct
0.000 0.000 0.000
0.215 0.000 0.506
0.504 0.500 0.036
0.286 0.500 0.575
```

---

Material: LiTe3As
Method: DFT, PBE
State: relaxed

Computed properties:
The calculated volume comes out at 25.37 Å³ per atom. The energy above the lowest structure with this stoichiometry is 296 kJ/mol of formula units. The energy relative to the elements, uncorrected comes out at 0.4185 eV/atom. As for the symmetry: Pm-3m.

Structure (POSCAR):
```
LiTe3As
1.0
5.025 0.000 0.000
0.000 5.025 0.000
0.000 0.000 5.025
Li Te As
1 3 1
Direct
0.000 0.000 0.000
0.000 0.000 0.500
0.000 0.500 0.000
0.500 0.000 0.000
0.500 0.500 0.500
```

---

Material: Li3TeAs
Method: DFT, PBE
State: relaxed

Computed properties:
The calculated volume comes out at 22.13 Å³ per atom. The energy above the lowest structure with this stoichiometry is 0 kJ/mol of formula units. The energy relative to the elements, uncorrected comes out at -0.3643 eV/atom. As for the symmetry: Pm-3m.

Structure (POSCAR):
```
Li3TeAs
1.0
4.801 0.000 0.000
0.000 4.801 0.000
0.000 0.000 4.801
Li Te As
3 1 1
Direct
0.000 0.000 0.500
0.000 0.500 0.000
0.500 0.000 0.000
0.500 0.500 0.500
0.000 0.000 0.000
```

---

Material: LiTe2As
Method: DFT, PBE
State: relaxed

Computed properties:
The calculated volume comes out at 25.55 Å³ per atom. The energy above the lowest structure with this stoichiometry is 71 kJ/mol of formula units. The energy relative to the elements, uncorrected comes out at -0.1761 eV/atom. As for the symmetry: Imm2.

Structure (POSCAR):
```
LiTe2As
1.0
-1.968 2.099 6.187
1.968 -2.099 6.187
1.968 2.099 -6.187
Li Te As
1 2 1
Direct
0.000 0.000 0.000
0.434 0.434 0.000
0.674 0.174 0.500
0.265 0.765 0.500
```

---

Material: Li3Te4As2
Method: DFT, PBE
State: relaxed

Computed properties:
The calculated volume comes out at 31.83 Å³ per atom. The energy relative to the elements, uncorrected comes out at -0.3866 eV/atom. As for the symmetry: C2/c.

Structure (POSCAR):
```
Li3Te4As2
1.0
7.892 -4.136 0.000
7.892 4.136 0.000
-0.145 0.000 8.776
Li Te As
6 8 4
Direct
0.202 0.798 0.750
0.349 0.364 0.216
0.364 0.349 0.716
0.636 0.651 0.284
0.651 0.636 0.784
0.798 0.202 0.250
0.022 0.378 0.165
0.277 0.604 0.473
0.378 0.022 0.665
0.396 0.723 0.027
0.604 0.277 0.973
0.622 0.978 0.335
0.723 0.396 0.527
0.978 0.622 0.835
0.039 0.345 0.464
0.345 0.039 0.964
0.655 0.961 0.036
0.961 0.655 0.536
```

---

- Among the records above, which one has the highest energy relative to the elements, uncorrected?
  LiTe3As